Record 1
CdBi2Ir | GGA-PBE | optimized geometry

Cell: 7.217 7.217 7.217 Å, 90.00 90.00 90.00°
Space group F-43m (No. 216)
Symmetry-distinct sites (fractional):
Cd 0.000 0.000 0.000 [4 per cell]
Bi 0.000 0.000 0.500 [4 per cell]
Bi 0.250 0.250 0.750 [4 per cell]
Ir 0.250 0.250 0.250 [4 per cell]

Results
energy: -3.954 eV/atom

Record 2
Nd4Br2NCl3 | GGA-PBE | optimized geometry

Cell: 18.044 3.822 8.072 Å, 90.00 104.43 90.00°
Space group C2/m (No. 12)
Symmetry-distinct sites (fractional):
Nd 0.000 0.000 0.211 [4 per cell]
Nd 0.140 0.500 0.082 [4 per cell]
Br 0.171 0.000 0.820 [4 per cell]
N 0.000 0.500 0.000 [2 per cell]
Cl 0.000 0.500 0.500 [2 per cell]
Cl 0.161 0.000 0.347 [4 per cell]

Results
energy: -5.404 eV/atom

Record 3
NdAgGe2Ir | GGA-PBE | optimized geometry

Cell: 4.384 4.384 10.348 Å, 90.00 90.00 90.00°
Space group P4/nmm (No. 129, origin choice 2)
Symmetry-distinct sites (fractional):
Nd 0.250 0.250 0.239 [2 per cell]
Ag 0.250 0.750 0.500 [2 per cell]
Ge 0.250 0.250 0.652 [2 per cell]
Ge 0.250 0.750 0.000 [2 per cell]
Ir 0.250 0.250 0.885 [2 per cell]

Results
energy: -5.757 eV/atom

Record 4
HfSnNO | GGA-PBE | optimized geometry

Cell: 3.593 6.784 5.996 Å, 90.00 90.00 90.00°
Space group Pmc2_1 (No. 26)
Symmetry-distinct sites (fractional):
Hf 0.000 0.182 0.000 [2 per cell]
Sn 0.500 0.351 0.559 [2 per cell]
N 0.500 0.329 0.970 [2 per cell]
O 0.000 0.021 0.270 [2 per cell]

Results
relative energy among the computed polymorphs: 16 kJ/mol of formula units
energy: -8.259 eV/atom

Record 5
DyYFe | GGA-PBE | optimized geometry

Cell: 6.609 6.609 6.609 Å, 90.00 90.00 90.00°
Space group F-43m (No. 216)
Symmetry-distinct sites (fractional):
Dy 0.000 0.000 0.000 [4 per cell]
Y 0.000 0.000 0.500 [4 per cell]
Fe 0.250 0.250 0.250 [4 per cell]

Results
energy of formation: 222 meV per atom
relative energy among the computed polymorphs: 0 kJ/mol of formula units
energy: -6.236 eV/atom

Record 6
DyNbGe | GGA-PBE | optimized geometry

Cell: 6.517 6.517 6.517 Å, 90.00 90.00 90.00°
Space group F-43m (No. 216)
Symmetry-distinct sites (fractional):
Dy 0.000 0.000 0.000 [4 per cell]
Nb 0.000 0.000 0.500 [4 per cell]
Ge 0.250 0.250 0.250 [4 per cell]

Results
energy: -6.519 eV/atom

Record 7
PrPaSb4Pd2 | GGA-PBE | optimized geometry

Cell: 4.447 4.447 9.801 Å, 90.00 90.00 90.00°
Space group P4mm (No. 99)
Symmetry-distinct sites (fractional):
Pr 0.000 0.000 0.000 [1 per cell]
Pa 0.500 0.500 0.488 [1 per cell]
Sb 0.000 0.000 0.428 [1 per cell]
Sb 0.000 0.500 0.736 [2 per cell]
Sb 0.500 0.500 0.093 [1 per cell]
Pd 0.000 0.500 0.261 [2 per cell]

Results
energy: -5.887 eV/atom

Record 8
HoGeIr | GGA-PBE | optimized geometry

Cell: 6.374 6.374 6.374 Å, 90.00 90.00 90.00°
Space group F-43m (No. 216)
Symmetry-distinct sites (fractional):
Ho 0.000 0.000 0.000 [4 per cell]
Ge 0.000 0.000 0.500 [4 per cell]
Ir 0.250 0.250 0.250 [4 per cell]

Results
energy: -6.626 eV/atom

Record 9
TbNdS2F2 | GGA-PBE | optimized geometry

Cell: 3.824 3.824 6.850 Å, 90.00 90.00 90.00°
Space group P4mm (No. 99)
Symmetry-distinct sites (fractional):
Tb 0.000 0.000 0.000 [1 per cell]
Nd 0.500 0.500 0.459 [1 per cell]
S 0.000 0.000 0.592 [1 per cell]
S 0.500 0.500 0.879 [1 per cell]
F 0.000 0.500 0.225 [2 per cell]

Results
energy: -6.560 eV/atom

Record 10
Tm2N | GGA-PBE | optimized geometry

Cell: 10.085 10.085 10.085 Å, 90.00 90.00 90.00°
Space group Fd-3m (No. 227, origin choice 2)
Symmetry-distinct sites (fractional):
Tm 0.000 0.000 0.000 [16 per cell]
N 0.125 0.125 0.125 [8 per cell]

Results
energy: -5.906 eV/atom

Record 11
CdReAsO | GGA-PBE | optimized geometry

Cell: 3.812 5.991 6.547 Å, 90.00 90.00 90.00°
Space group Pmc2_1 (No. 26)
Symmetry-distinct sites (fractional):
Cd 0.000 0.197 0.000 [2 per cell]
Re 0.500 0.238 0.401 [2 per cell]
As 0.500 0.395 0.745 [2 per cell]
O 0.000 0.213 0.401 [2 per cell]

Results
relative energy among the computed polymorphs: 96 kJ/mol of formula units
energy: -5.798 eV/atom

Record 12
BaTcB | GGA-PBE | optimized geometry

Cell: 6.245 6.245 6.245 Å, 90.00 90.00 90.00°
Space group F-43m (No. 216)
Symmetry-distinct sites (fractional):
Ba 0.000 0.000 0.000 [4 per cell]
Tc 0.250 0.250 0.250 [4 per cell]
B 0.000 0.000 0.500 [4 per cell]

Results
relative energy among the computed polymorphs: 30 kJ/mol of formula units
energy: -4.738 eV/atom